[1]
## InSiRh2 (PBE-GGA)

Data for a relaxed InSiRh2 crystal.

Unit cell a=4.502 b=4.502 c=3.018 alpha=90.00 beta=90.00 gamma=96.58
Atoms (fractional coordinates):
In: 0.000 0.500 0.500
Rh: 0.000 0.000 0.000
Rh: 0.500 0.500 0.000
Si: 0.500 0.000 0.500

Values from the calculation:
The density of states at the Fermi level comes out at 1.75 states/eV per cell. Its total magnetization is 0.00 μB/f.u. The calculation puts the formation energy without anion corrections at -8.3 kcal/mol of atoms. The symmetry is Cmmm, No. 65.

[2]
## InSi2Rh (PBE-GGA)

Data for a relaxed InSi2Rh crystal.

Unit cell a=4.989 b=4.989 c=4.989 alpha=139.45 beta=121.58 gamma=73.53
Atoms (fractional coordinates):
In: 0.499 0.499 0.000
Rh: 0.783 0.283 0.500
Si: 0.995 0.995 0.000
Si: 0.223 0.723 0.500

Values from the calculation:
The density of states at the Fermi level comes out at 1.71 states/eV per cell. Its total magnetization is 0.00 μB/f.u. The calculation puts the formation energy without anion corrections at 2.5 kcal/mol of atoms. The symmetry is Imm2, No. 44.

[3]
## InSi2Rh (PBE-GGA)

Data for a relaxed InSi2Rh crystal.

Unit cell a=7.986 b=7.986 c=7.986 alpha=22.92 beta=22.92 gamma=22.92
Atoms (fractional coordinates):
In: 0.497 0.497 0.497
Rh: 0.738 0.738 0.738
Si: 0.005 0.005 0.005
Si: 0.261 0.261 0.261

Values from the calculation:
The density of states at the Fermi level comes out at 1.89 states/eV per cell. Its total magnetization is 0.00 μB/f.u. The calculation puts the formation energy without anion corrections at -1.3 kcal/mol of atoms. The symmetry is R3m, No. 160.

[4]
## InSiRh2 (PBE-GGA)

Data for a relaxed InSiRh2 crystal.

Unit cell a=5.187 b=5.187 c=5.187 alpha=137.96 beta=137.96 gamma=60.96
Atoms (fractional coordinates):
In: 0.750 0.250 0.500
Rh: 0.000 0.000 0.000
Rh: 0.250 0.750 0.500
Si: 0.500 0.500 0.000

Values from the calculation:
The density of states at the Fermi level comes out at 3.81 states/eV per cell. Its total magnetization is 0.00 μB/f.u. The calculation puts the formation energy without anion corrections at -5.0 kcal/mol of atoms. The symmetry is I-4m2, No. 119.

- The highest formation energy without anion corrections belongs to which entry?
  number 2

- Number 2 is which compound?
  InSi2Rh

- Number 3 is which compound?
  InSi2Rh